An optimized crystal structure of NaNdNp2O8, computed with GGA-PBE.

calculated total energy	-8.671	eV per atom

CIF file:
```
data_NaNdNp2O8
_chemical_formula_sum 'Na2 Nd2 Np4 O16'
_cell_length_a 5.415
_cell_length_b 5.415
_cell_length_c 10.401
_cell_angle_alpha 90.00
_cell_angle_beta 90.00
_cell_angle_gamma 90.00
_symmetry_space_group_name_H-M 'I -4 m 2'
_symmetry_Int_Tables_number 119
_symmetry_space_group_name_Hall 'I -4 -2'
loop_
_atom_site_label
_atom_site_fract_x
_atom_site_fract_y
_atom_site_fract_z
_atom_site_occupancy
Na1 0.000 0.000 0.000 1
Nd1 0.000 0.500 0.750 1
Np1 0.000 0.000 0.500 1
Np2 0.000 0.500 0.250 1
O1 0.219 0.248 0.375 1
```



An optimized crystal structure of AsRuSe2Cl, computed with GGA-PBE.

energy above the lowest structure with this stoichiometry	0	meV/atom
calculated total energy	-4.127	eV per atom

CIF file:
```
data_AsRuSe2Cl
_chemical_formula_sum 'As1 Ru1 Se2 Cl1'
_cell_length_a 4.868
_cell_length_b 4.868
_cell_length_c 4.862
_cell_angle_alpha 90.00
_cell_angle_beta 90.00
_cell_angle_gamma 90.00
_symmetry_space_group_name_H-M 'P 4/m m m'
_symmetry_Int_Tables_number 123
_symmetry_space_group_name_Hall '-P 4 2'
loop_
_atom_site_label
_atom_site_fract_x
_atom_site_fract_y
_atom_site_fract_z
_atom_site_occupancy
As1 0.000 0.000 0.000 1
Ru1 0.000 0.000 0.500 1
Se1 0.000 0.500 0.500 1
Cl1 0.500 0.500 0.000 1
```



An optimized crystal structure of Ac5TbPr2Nd, computed with GGA-PBE.

calculated total energy	-4.112	eV per atom
ΔH_f (0 K)	0.277	eV/atom

CIF file:
```
data_Ac5TbPr2Nd
_chemical_formula_sum 'Ac20 Tb4 Pr8 Nd4'
_cell_length_a 8.496
_cell_length_b 8.496
_cell_length_c 20.763
_cell_angle_alpha 90.00
_cell_angle_beta 90.00
_cell_angle_gamma 90.00
_symmetry_space_group_name_H-M 'I 4/m c m'
_symmetry_Int_Tables_number 140
_symmetry_space_group_name_Hall '-I 4 2c'
loop_
_atom_site_label
_atom_site_fract_x
_atom_site_fract_y
_atom_site_fract_z
_atom_site_occupancy
Ac1 0.000 0.000 0.000 1
Ac2 0.223 0.277 0.137 1
Tb1 0.000 0.500 0.250 1
Pr1 0.122 0.378 0.500 1
Nd1 0.000 0.000 0.250 1
```



An optimized crystal structure of CeNd4Ho3Se8, computed with GGA-PBE.

calculated total energy	-5.960	eV per atom

CIF file:
```
data_CeNd4Ho3Se8
_chemical_formula_sum 'Ce3 Nd12 Ho9 Se24'
_cell_length_a 8.2869
_cell_length_b 8.2869
_cell_length_c 20.5710
_cell_angle_alpha 90.00
_cell_angle_beta 90.00
_cell_angle_gamma 120.00
_symmetry_space_group_name_H-M 'R -3 m'
_symmetry_Int_Tables_number 166
_symmetry_space_group_name_Hall '-R 3 2"'
loop_
_atom_site_label
_atom_site_fract_x
_atom_site_fract_y
_atom_site_fract_z
_atom_site_occupancy
Ce1 0.0000 0.0000 0.0000 1
Nd1 0.0000 0.0000 0.5000 1
Nd2 0.0000 0.5000 0.5000 1
Ho1 0.0000 0.5000 0.0000 1
Se1 0.0000 0.0000 0.2555 1
Se2 0.0053 0.5027 0.2541 1
```



An optimized crystal structure of Pm4TlIn2Ag, computed with GGA-PBE.

calculated total energy	-4.106	eV per atom
ΔH_f (0 K)	-0.394	eV/atom

CIF file:
```
data_Pm4TlIn2Ag
_chemical_formula_sum 'Pm12 Tl3 In6 Ag3'
_cell_length_a 5.4143
_cell_length_b 5.4143
_cell_length_c 26.7725
_cell_angle_alpha 90.00
_cell_angle_beta 90.00
_cell_angle_gamma 120.00
_symmetry_space_group_name_H-M 'R -3 m'
_symmetry_Int_Tables_number 166
_symmetry_space_group_name_Hall '-R 3 2"'
loop_
_atom_site_label
_atom_site_fract_x
_atom_site_fract_y
_atom_site_fract_z
_atom_site_occupancy
Pm1 0.0000 0.0000 0.1220 1
Pm2 0.0000 0.0000 0.3721 1
Tl1 0.0000 0.0000 0.5000 1
In1 0.0000 0.0000 0.2501 1
Ag1 0.0000 0.0000 0.0000 1
```



An optimized crystal structure of ScRu2Pt, computed with GGA-PBE.

calculated total energy	-7.716	eV per atom
ΔH_f (0 K)	0.015	eV/atom

CIF file:
```
data_ScRu2Pt
_chemical_formula_sum 'Sc4 Ru8 Pt4'
_cell_length_a 3.777
_cell_length_b 3.777
_cell_length_c 19.163
_cell_angle_alpha 90.00
_cell_angle_beta 90.00
_cell_angle_gamma 90.00
_symmetry_space_group_name_H-M 'I -4 2 d'
_symmetry_Int_Tables_number 122
_symmetry_space_group_name_Hall 'I -4 2bw'
loop_
_atom_site_label
_atom_site_fract_x
_atom_site_fract_y
_atom_site_fract_z
_atom_site_occupancy
Sc1 0.000 0.000 0.000 1
Ru1 0.219 0.250 0.625 1
Pt1 0.000 0.000 0.500 1
```



An optimized crystal structure of TiFe3P, computed with GGA-PBE.

energy above the lowest structure with this stoichiometry	1203	meV/atom
calculated total energy	-6.436	eV per atom
ΔH_f (0 K)	1.302	eV/atom

CIF file:
```
data_TiFe3P
_chemical_formula_sum 'Ti1 Fe3 P1'
_cell_length_a 4.338
_cell_length_b 4.338
_cell_length_c 4.338
_cell_angle_alpha 90.00
_cell_angle_beta 90.00
_cell_angle_gamma 90.00
_symmetry_space_group_name_H-M 'P m -3 m'
_symmetry_Int_Tables_number 221
_symmetry_space_group_name_Hall '-P 4 2 3'
loop_
_atom_site_label
_atom_site_fract_x
_atom_site_fract_y
_atom_site_fract_z
_atom_site_occupancy
Ti1 0.000 0.000 0.000 1
Fe1 0.000 0.000 0.500 1
P1 0.500 0.500 0.500 1
```



An optimized crystal structure of CeCuRu, computed with GGA-PBE.

energy above the lowest structure with this stoichiometry	0	meV/atom
calculated total energy	-6.720	eV per atom
ΔH_f (0 K)	-0.285	eV/atom

CIF file:
```
data_CeCuRu
_chemical_formula_sum 'Ce4 Cu4 Ru4'
_cell_length_a 4.706
_cell_length_b 5.615
_cell_length_c 7.868
_cell_angle_alpha 90.00
_cell_angle_beta 90.00
_cell_angle_gamma 90.00
_symmetry_space_group_name_H-M 'I m m a'
_symmetry_Int_Tables_number 74
_symmetry_space_group_name_Hall '-I 2b 2'
loop_
_atom_site_label
_atom_site_fract_x
_atom_site_fract_y
_atom_site_fract_z
_atom_site_occupancy
Ce1 0.000 0.250 0.124 1
Cu1 0.250 0.250 0.750 1
Ru1 0.000 0.000 0.500 1
```



no.,DOS at the Fermi energy (states/eV per atom)
1,0.839
2,1.408
3,1.540
4,0.766
5,1.336
6,1.227
7,1.097
8,1.173